Compound: TcHgGeOsW
Source: the Alexandria database
Functional: PBE
Structure: optimized geometry

E = -7.273 eV/atom
Formation enthalpy at 0 K = 0.62 eV/atom
ΔE to the lowest computed polymorph = 0.417 eV/atom
M_tot = 0.0 μB per formula unit

Unit cell a=3.876 b=3.891 c=5.934 alpha=90.00 beta=90.00 gamma=90.00
Space group Pmm2 (No. 25)
Unique sites:
Tc: 0.000 0.000 0.000 [1 per cell]
Hg: 0.500 0.500 0.211 [1 per cell]
Ge: 0.000 0.500 0.708 [1 per cell]
Os: 0.000 0.000 0.431 [1 per cell]
W: 0.500 0.000 0.713 [1 per cell]



Compound: YSe2F
Source: the Alexandria database
Functional: PBE
Structure: optimized geometry

E = -3.877 eV/atom
Formation energy (no corrections) = -50 meV/atom
ΔE to the lowest computed polymorph = 1.385 eV/atom
M_tot = 0.0 μB per formula unit

Unit cell a=3.3076 b=3.3076 c=27.8901 alpha=90.00 beta=90.00 gamma=120.00
Space group R-3m (No. 166, hexagonal axes)
Unique sites:
Y: 0.0000 0.0000 0.0000 [3 per cell]
Se: 0.0000 0.0000 0.0989 [6 per cell]
F: 0.0000 0.0000 0.5000 [3 per cell]



Compound: CdCu4Pt2
Source: the Alexandria database
Functional: PBE
Structure: optimized geometry

E = -3.939 eV/atom
Formation enthalpy at 0 K = 0.26 eV/atom
M_tot = 0.0 μB per formula unit

Unit cell a=4.834 b=4.834 c=9.460 alpha=90.00 beta=90.00 gamma=90.00
Space group I4/mmm (No. 139)
Unique sites:
Cd: 0.000 0.000 0.000 [2 per cell]
Cu: 0.000 0.500 0.000 [4 per cell]
Cu: 0.000 0.500 0.250 [4 per cell]
Pt: 0.000 0.000 0.359 [4 per cell]